# 1
Below is a relaxed structure of Mn2CuP, with properties calculated at the PBE level.

Output
Uncorrected energy (Ry per atom): -0.515
ΔH_f (0 K) (eV per atom): -0.042
Crystal system: monoclinic
Spin magnetization (μB/f.u.): 4.21

CIF file:
```
data_Mn2CuP
_chemical_formula_sum 'Mn2 Cu1 P1'
_symmetry_space_group_name_H-M 'P 1 2/m 1'
_symmetry_Int_Tables_number 10
_cell_length_a 2.7028
_cell_length_b 3.3178
_cell_length_c 5.3347
_cell_angle_alpha 90.00
_cell_angle_beta 97.66
_cell_angle_gamma 90.00
loop_
_symmetry_equiv_pos_as_xyz
'x,y,z'
'-x,-y,-z'
'-x,y,-z'
'x,-y,z'
loop_
_atom_site_label
_atom_site_fract_x
_atom_site_fract_y
_atom_site_fract_z
_atom_site_occupancy
Mn1 0.0699 0.0000 0.2703 1
Cu1 0.5000 0.5000 0.0000 1
P1 0.5000 0.5000 0.5000 1
```


# 2
Below is a relaxed structure of SmDyAl, with properties calculated at the PBE level.

Output
Uncorrected energy (Ry per atom): -0.331
ΔH_f (0 K) (eV per atom): -0.146
Energy relative to the lowest polymorph listed for this composition (eV per formula unit): 0.281
Crystal system: trigonal
Spin magnetization (μB/f.u.): 0.00

CIF file:
```
data_SmDyAl
_chemical_formula_sum 'Sm1 Dy1 Al1'
_symmetry_space_group_name_H-M 'P 3 m 1'
_symmetry_Int_Tables_number 156
_cell_length_a 5.0999
_cell_length_b 5.0999
_cell_length_c 3.6118
_cell_angle_alpha 90.00
_cell_angle_beta 90.00
_cell_angle_gamma 120.00
loop_
_symmetry_equiv_pos_as_xyz
'x,y,z'
'-y,x-y,z'
'-x+y,-x,z'
'-y,-x,z'
'-x+y,y,z'
'x,x-y,z'
loop_
_atom_site_label
_atom_site_fract_x
_atom_site_fract_y
_atom_site_fract_z
_atom_site_occupancy
Sm1 0.0000 0.0000 0.0000 1
Dy1 0.3333 0.6667 0.4382 1
Al1 0.6667 0.3333 0.6846 1
```


# 3
Below is a relaxed structure of Sr3Mo, with properties calculated at the PBE level.

Output
Uncorrected energy (Ry per atom): -0.230
ΔH_f (0 K) (eV per atom): 0.834
Energy relative to the lowest polymorph listed for this composition (eV per formula unit): 0.432
Crystal system: cubic
Spin magnetization (μB/f.u.): 2.86

CIF file:
```
data_Sr3Mo
_chemical_formula_sum 'Sr12 Mo4'
_symmetry_space_group_name_H-M 'F m -3 m'
_symmetry_Int_Tables_number 225
_symmetry_space_group_name_Hall '-F 4 2 3'
_cell_length_a 8.3834
_cell_length_b 8.3834
_cell_length_c 8.3834
_cell_angle_alpha 90.00
_cell_angle_beta 90.00
_cell_angle_gamma 90.00
loop_
_atom_site_label
_atom_site_fract_x
_atom_site_fract_y
_atom_site_fract_z
_atom_site_occupancy
Sr1 0.0000 0.0000 0.0000 1
Sr2 0.2500 0.2500 0.2500 1
Mo1 0.0000 0.0000 0.5000 1
```


# 4
Below is a relaxed structure of BaReN3, with properties calculated at the PBE level.

Output
Uncorrected energy (Ry per atom): -0.521
Crystal system: tetragonal
Spin magnetization (μB/f.u.): 0.00

CIF file:
```
data_BaReN3
_chemical_formula_sum 'Ba1 Re1 N3'
_symmetry_space_group_name_H-M 'P 4 m m'
_symmetry_Int_Tables_number 99
_cell_length_a 3.9658
_cell_length_b 3.9658
_cell_length_c 5.2990
_cell_angle_alpha 90.00
_cell_angle_beta 90.00
_cell_angle_gamma 90.00
loop_
_symmetry_equiv_pos_as_xyz
'x,y,z'
'-y,x,z'
'-x,-y,z'
'y,-x,z'
'-x,y,z'
'y,x,z'
'x,-y,z'
'-y,-x,z'
loop_
_atom_site_label
_atom_site_fract_x
_atom_site_fract_y
_atom_site_fract_z
_atom_site_occupancy
Ba1 0.0000 0.0000 0.0000 1
Re1 0.5000 0.5000 0.4416 1
N1 0.0000 0.0000 0.5008 1
N2 0.0000 0.5000 0.4409 1
```


# 5
Below is a relaxed structure of HoZrBe4, with properties calculated at the PBE level.

Output
Uncorrected energy (Ry per atom): -0.342
ΔH_f (0 K) (eV per atom): 0.022
Crystal system: cubic
Spin magnetization (μB/f.u.): 0.00

CIF file:
```
data_HoZrBe4
_chemical_formula_sum 'Ho4 Zr4 Be16'
_symmetry_space_group_name_H-M 'F -4 3 m'
_symmetry_Int_Tables_number 216
_symmetry_space_group_name_Hall 'F -4 2 3'
_cell_length_a 6.9199
_cell_length_b 6.9199
_cell_length_c 6.9199
_cell_angle_alpha 90.00
_cell_angle_beta 90.00
_cell_angle_gamma 90.00
loop_
_atom_site_label
_atom_site_fract_x
_atom_site_fract_y
_atom_site_fract_z
_atom_site_occupancy
Ho1 0.0000 0.0000 0.0000 1
Zr1 0.2500 0.2500 0.2500 1
Be1 0.1209 0.1209 0.6209 1
```


# 6
Below is a relaxed structure of MgRePb2, with properties calculated at the PBE level.

Output
Uncorrected energy (Ry per atom): -0.351
ΔH_f (0 K) (eV per atom): 0.583
Crystal system: orthorhombic
Spin magnetization (μB/f.u.): 0.00

CIF file:
```
data_MgRePb2
_chemical_formula_sum 'Mg2 Re2 Pb4'
_symmetry_space_group_name_H-M 'C m m 2'
_symmetry_Int_Tables_number 35
_cell_length_a 3.6292
_cell_length_b 4.9478
_cell_length_c 10.6485
_cell_angle_alpha 90.00
_cell_angle_beta 90.00
_cell_angle_gamma 90.00
loop_
_symmetry_equiv_pos_as_xyz
'x,y,z'
'-x,-y,z'
'-x,y,z'
'x,-y,z'
'x+1/2,y+1/2,z'
'-x+1/2,-y+1/2,z'
'-x+1/2,y+1/2,z'
'x+1/2,-y+1/2,z'
loop_
_atom_site_label
_atom_site_fract_x
_atom_site_fract_y
_atom_site_fract_z
_atom_site_occupancy
Mg1 0.0000 0.0000 0.0000 1
Re1 0.0000 0.5000 0.1920 1
Pb1 0.0000 0.0000 0.4047 1
Pb2 0.0000 0.5000 0.7481 1
```


> Among the records above, which one has the lowest uncorrected energy?

BaReN3


What did the sixth record say?
Below is a relaxed structure of MgRePb2, with properties calculated at the PBE level.

Output
Uncorrected energy (Ry per atom): -0.351
ΔH_f (0 K) (eV per atom): 0.583
Crystal system: orthorhombic
Spin magnetization (μB/f.u.): 0.00

CIF file:
```
data_MgRePb2
_chemical_formula_sum 'Mg2 Re2 Pb4'
_symmetry_space_group_name_H-M 'C m m 2'
_symmetry_Int_Tables_number 35
_cell_length_a 3.6292
_cell_length_b 4.9478
_cell_length_c 10.6485
_cell_angle_alpha 90.00
_cell_angle_beta 90.00
_cell_angle_gamma 90.00
loop_
_symmetry_equiv_pos_as_xyz
'x,y,z'
'-x,-y,z'
'-x,y,z'
'x,-y,z'
'x+1/2,y+1/2,z'
'-x+1/2,-y+1/2,z'
'-x+1/2,y+1/2,z'
'x+1/2,-y+1/2,z'
loop_
_atom_site_label
_atom_site_fract_x
_atom_site_fract_y
_atom_site_fract_z
_atom_site_occupancy
Mg1 0.0000 0.0000 0.0000 1
Re1 0.0000 0.5000 0.1920 1
Pb1 0.0000 0.0000 0.4047 1
Pb2 0.0000 0.5000 0.7481 1
```